Compound: K2PmBr5
Source: the Alexandria database
Functional: PBE-GGA
Structure: optimized geometry Values from VASP.

Values from the calculation:
ΔE_f (raw): -1.741 eV per atom
Final energy: -0.26863 Ry per atom
Excess energy over the best structure of this formula in the dataset: 106.6 meV/atom
Total magnetization: 0.00 μB/cell
D(E_F): 0.0000 states/eV/atom

Cell and atoms, written as Quantum ESPRESSO input:
```
&SYSTEM
  ibrav = 0, nat = 8, ntyp = 3
/
ATOMIC_SPECIES
K 39.10 K.upf
Pm 145.00 Pm.upf
Br 79.90 Br.upf
CELL_PARAMETERS angstrom
5.952 -5.952 0.000
5.952 5.952 0.000
-5.935 0.000 6.187
ATOMIC_POSITIONS crystal
K 0.250 0.750 0.000
K 0.750 0.250 0.000
Pm 0.079 0.079 0.656
Br 0.372 0.372 0.783
Br 0.372 0.911 0.782
Br 0.860 0.860 0.217
Br 0.911 0.372 0.782
Br 0.911 0.911 0.781
```

***

Compound: Pr4I
Source: the Alexandria database
Functional: PBE-GGA
Structure: optimized geometry Values from VASP.

Values from the calculation:
ΔE_f (raw): 0.010 eV per atom
Final energy: -0.30311 Ry per atom
Total magnetization: 0.00 μB/cell
D(E_F): 1.0057 states/eV/atom

Cell and atoms, written as Quantum ESPRESSO input:
```
&SYSTEM
  ibrav = 0, nat = 5, ntyp = 2
/
ATOMIC_SPECIES
Pr 140.91 Pr.upf
I 126.90 I.upf
CELL_PARAMETERS angstrom
5.929 0.000 0.000
0.000 5.929 0.000
0.000 0.000 5.929
ATOMIC_POSITIONS crystal
Pr 0.000 0.000 0.000
Pr 0.000 0.500 0.500
Pr 0.500 0.000 0.500
Pr 0.500 0.500 0.000
I 0.500 0.500 0.500
```

***

Compound: Nd3NbSe6
Source: the Alexandria database
Functional: PBE-GGA
Structure: optimized geometry Values from VASP.

Values from the calculation:
ΔE_f (raw): -1.453 eV per atom
Final energy: -0.43962 Ry per atom
Total magnetization: 4.05 μB/cell
D(E_F): 0.3329 states/eV/atom

Cell and atoms, written as Quantum ESPRESSO input:
```
&SYSTEM
  ibrav = 0, nat = 20, ntyp = 3
/
ATOMIC_SPECIES
Nd 144.24 Nd.upf
Nb 92.91 Nb.upf
Se 78.96 Se.upf
CELL_PARAMETERS angstrom
5.765 -7.130 0.000
5.765 7.130 0.000
0.000 0.000 7.028
ATOMIC_POSITIONS crystal
Nd 0.097 0.903 0.500
Nd 0.223 0.415 0.407
Nd 0.415 0.223 0.907
Nd 0.585 0.777 0.407
Nd 0.777 0.585 0.907
Nd 0.903 0.097 0.000
Nb 0.301 0.699 0.864
Nb 0.699 0.301 0.364
Se 0.065 0.596 0.686
Se 0.131 0.194 0.704
Se 0.194 0.131 0.204
Se 0.279 0.721 0.223
Se 0.404 0.935 0.686
Se 0.465 0.535 0.710
Se 0.535 0.465 0.210
Se 0.596 0.065 0.186
Se 0.721 0.279 0.723
Se 0.806 0.869 0.704
Se 0.869 0.806 0.204
Se 0.935 0.404 0.186
```

***

Compound: Ag3Sb2Te4
Source: the Alexandria database
Functional: PBE-GGA
Structure: optimized geometry Values from VASP.

Values from the calculation:
ΔE_f (raw): 0.036 eV per atom
Final energy: -0.23714 Ry per atom
Total magnetization: 0.00 μB/cell
D(E_F): 0.2647 states/eV/atom

Cell and atoms, written as Quantum ESPRESSO input:
```
&SYSTEM
  ibrav = 0, nat = 18, ntyp = 3
/
ATOMIC_SPECIES
Ag 107.87 Ag.upf
Sb 121.76 Sb.upf
Te 127.60 Te.upf
CELL_PARAMETERS angstrom
6.361 -6.370 0.000
6.361 6.370 0.000
-0.007 0.000 6.177
ATOMIC_POSITIONS crystal
Ag 0.000 0.000 0.250
Ag 0.000 0.000 0.750
Ag 0.253 0.500 0.000
Ag 0.500 0.253 0.500
Ag 0.500 0.747 0.500
Ag 0.747 0.500 0.000
Sb 0.000 0.312 0.500
Sb 0.000 0.688 0.500
Sb 0.312 0.000 0.000
Sb 0.688 0.000 0.000
Te 0.000 0.287 0.000
Te 0.000 0.713 0.000
Te 0.279 0.500 0.500
Te 0.287 0.000 0.500
Te 0.500 0.279 0.000
Te 0.500 0.721 0.000
Te 0.713 0.000 0.500
Te 0.721 0.500 0.500
```

***

Compound: ZnRhI3
Source: the Alexandria database
Functional: PBE-GGA
Structure: optimized geometry Values from VASP.

Values from the calculation:
ΔE_f (raw): 0.223 eV per atom
Final energy: -0.17875 Ry per atom
Excess energy over the best structure of this formula in the dataset: 0.0 meV/atom
Total magnetization: 0.00 μB/cell
D(E_F): 0.9755 states/eV/atom

Cell and atoms, written as Quantum ESPRESSO input:
```
&SYSTEM
  ibrav = 0, nat = 5, ntyp = 3
/
ATOMIC_SPECIES
Zn 65.41 Zn.upf
Rh 102.91 Rh.upf
I 126.90 I.upf
CELL_PARAMETERS angstrom
5.437 0.000 0.000
0.000 5.437 0.000
0.000 0.000 5.437
ATOMIC_POSITIONS crystal
Zn 0.000 0.000 0.000
Rh 0.500 0.500 0.500
I 0.000 0.500 0.500
I 0.500 0.000 0.500
I 0.500 0.500 0.000
```

***

Compound: Th2UAlIr6
Source: the Alexandria database
Functional: PBE-GGA
Structure: optimized geometry Values from VASP.

Values from the calculation:
Final energy: -0.65082 Ry per atom
Total magnetization: 0.00 μB/cell
D(E_F): 0.5227 states/eV/atom

Cell and atoms, written as Quantum ESPRESSO input:
```
&SYSTEM
  ibrav = 0, nat = 10, ntyp = 4
/
ATOMIC_SPECIES
Th 232.04 Th.upf
U 238.03 U.upf
Al 26.98 Al.upf
Ir 192.22 Ir.upf
CELL_PARAMETERS angstrom
4.886 -2.819 0.000
4.886 2.819 0.000
-3.263 0.000 7.995
ATOMIC_POSITIONS crystal
Th 0.208 0.208 0.123
Th 0.792 0.792 0.877
U 0.000 0.000 0.500
Al 0.500 0.500 0.000
Ir 0.250 0.746 0.240
Ir 0.254 0.750 0.760
Ir 0.255 0.255 0.759
Ir 0.745 0.745 0.241
Ir 0.746 0.250 0.240
Ir 0.750 0.254 0.760
```

***

Number 1: volume 438.4 Å³/cell. Number 2: volume 208.4 Å³/cell. Number 3: volume 577.8 Å³/cell. Number 4: volume 500.6 Å³/cell. Number 5: volume 160.7 Å³/cell. Number 6: volume 220.2 Å³/cell.